Entry 1:
Density functional theory data (GGA-PBE) for crystalline Al2Tc at its relaxed geometry.

abc: 4.2779 4.2779 2.7471
angles: 90.00 90.00 120.00
Last column: nearest neighbours and their distance in Å.
Atoms (fractional coordinates):
1 Tc 0.0000 0.0000 0.0000  6 Al 2.64, 2 Tc 2.75
2 Al 0.6667 0.3333 0.3416  5 Al 2.62-2.75, 3 Tc 2.64
3 Al 0.3333 0.6667 0.6584  5 Al 2.62-2.75, 3 Tc 2.64

Summary:
Symmetry: No. 164

Entry 2:
Density functional theory data (GGA-PBE) for crystalline Al3Tc at its relaxed geometry.

abc: 4.8432 4.8432 4.7092
angles: 82.64 82.64 33.42
Last column: nearest neighbours and their distance in Å.
Atoms (fractional coordinates):
1 Tc 0.0000 0.0000 0.0000  10 Al 2.74-2.79, 2 Tc 2.79
2 Al 0.5000 0.5000 0.5000  8 Al 2.69-2.90, 4 Tc 2.74
3 Al 0.7409 0.7409 0.7608  9 Al 2.67-2.90, 3 Tc 2.74-2.79
4 Al 0.2591 0.2591 0.2392  9 Al 2.67-2.90, 3 Tc 2.74-2.79

Summary:
Symmetry: No. 12

Entry 3:
Density functional theory data (GGA-PBE) for crystalline AlTc3 at its relaxed geometry.

abc: 4.3443 4.3443 3.0564
angles: 90.00 90.00 90.00
Last column: nearest neighbours and their distance in Å.
Atoms (fractional coordinates):
1 Tc 0.5000 0.0000 0.5000  4 Tc 2.66, 4 Al 2.66
2 Tc 0.5000 0.5000 0.0000  8 Tc 2.66
3 Tc 0.0000 0.5000 0.5000  4 Tc 2.66, 4 Al 2.66
4 Al 0.0000 0.0000 0.0000  8 Tc 2.66

Summary:
Symmetry: No. 123

Entry 4:
Density functional theory data (GGA-PBE) for crystalline Al4Tc at its relaxed geometry.

abc: 4.9450 4.9450 4.9450
angles: 97.02 97.02 139.06
Last column: nearest neighbours and their distance in Å.
Atoms (fractional coordinates):
1 Al 0.7972 0.3961 0.1934  8 Al 2.65-2.92, 3 Tc 2.69-2.92
2 Al 0.3961 0.2028 0.5989  8 Al 2.65-2.92, 3 Tc 2.69-2.92
3 Al 0.2028 0.6039 0.8066  8 Al 2.65-2.92, 3 Tc 2.69-2.92
4 Al 0.6039 0.7972 0.4011  8 Al 2.65-2.92, 3 Tc 2.69-2.92
5 Tc 0.0000 0.0000 0.0000  12 Al 2.69-2.92

Summary:
Symmetry: No. 87

Entry 5:
Density functional theory data (GGA-PBE) for crystalline Al4Tc at its relaxed geometry.

abc: 4.7788 4.7788 4.7788
angles: 90.00 90.00 90.00
Last column: nearest neighbours and their distance in Å.
Atoms (fractional coordinates):
1 Tc 0.5000 0.5000 0.5000  6 Al 2.39
2 Al 0.0000 0.0000 0.0000  12 Al 3.38
3 Al 0.5000 0.0000 0.5000  2 Tc 2.39
4 Al 0.0000 0.5000 0.5000  2 Tc 2.39
5 Al 0.5000 0.5000 0.0000  2 Tc 2.39

Summary:
Symmetry: No. 221

Entry 6:
Density functional theory data (GGA-PBE) for crystalline Al3Tc at its relaxed geometry.

abc: 2.8155 2.8158 7.9003
angles: 90.00 90.00 91.01
Last column: nearest neighbours and their distance in Å.
Atoms (fractional coordinates):
1 Tc 0.5000 0.5000 0.2500  8 Al 2.67-2.69, 4 Tc 2.82
2 Al 0.0000 0.0000 0.0229  4 Tc 2.67-2.69, 8 Al 2.82-2.95
3 Al 0.5000 0.5000 0.7500  12 Al 2.82-2.95
4 Al 0.0000 0.0000 0.4771  4 Tc 2.67-2.69, 8 Al 2.82-2.95

Summary:
Symmetry: No. 65

Number 1: DFT total energy -18.60 eV/f.u.. Number 2: DFT total energy -22.44 eV/f.u.. Number 3: DFT total energy -35.21 eV/f.u.. Number 4: DFT total energy -26.88 eV/f.u.. Number 5: DFT total energy -23.73 eV/f.u.. Number 6: DFT total energy -21.98 eV/f.u..